No. 1
Computed, not measured: an optimized crystal structure of YMnTc2 at the PBE level of DFT.

Summary:
Offset from the most stable computed form   332 meV/atom

Geometry as CIF:
```
data_YMnTc2
_chemical_formula_sum 'Y1 Mn1 Tc2'
_cell_length_a 9.1191
_cell_length_b 9.1191
_cell_length_c 9.1191
_cell_angle_alpha 18.54
_cell_angle_beta 18.54
_cell_angle_gamma 18.54
_symmetry_space_group_name_H-M 'P 1'
_symmetry_Int_Tables_number 1
_symmetry_space_group_name_Hall 'P 1'
loop_
_atom_site_label
_atom_site_type_symbol
_atom_site_fract_x
_atom_site_fract_y
_atom_site_fract_z
Mn1 Mn 0.7500 0.7500 0.7500
Tc1 Tc 0.0120 0.0120 0.0120
Tc2 Tc 0.4880 0.4880 0.4880
Y1 Y 0.2500 0.2500 0.2500
```

---

No. 2
Computed, not measured: an optimized crystal structure of NaScSeO4 at the PBE level of DFT.

Summary:
Formation energy without anion corrections   -1863.6 meV per atom

Geometry as CIF:
```
data_NaScSeO4
_chemical_formula_sum 'Na2 Sc2 Se2 O8'
_cell_length_a 6.9232
_cell_length_b 6.3300
_cell_length_c 6.3300
_cell_angle_alpha 58.90
_cell_angle_beta 56.85
_cell_angle_gamma 56.85
_symmetry_space_group_name_H-M 'P 1'
_symmetry_Int_Tables_number 1
_symmetry_space_group_name_Hall 'P 1'
loop_
_atom_site_label
_atom_site_type_symbol
_atom_site_fract_x
_atom_site_fract_y
_atom_site_fract_z
Na1 Na 0.5000 0.0000 0.5000
Na2 Na 0.0000 0.0000 0.5000
Sc1 Sc 0.0000 0.0000 0.0000
Sc2 Sc 0.0000 0.5000 0.5000
Se1 Se 0.6081 0.6419 0.1419
Se2 Se 0.3919 0.3581 0.8581
O1 O 0.7310 0.7382 0.7999
O2 O 0.2690 0.7001 0.7618
O3 O 0.7310 0.2999 0.2382
O4 O 0.2690 0.2618 0.2001
O5 O 0.2049 0.7434 0.2434
O6 O 0.8082 0.7434 0.2434
O7 O 0.1918 0.2566 0.7566
O8 O 0.7951 0.2566 0.7566
```

---

No. 3
Computed, not measured: an optimized crystal structure of Cs2HgTe at the PBE level of DFT.

Summary:
Offset from the most stable computed form   91 meV/atom
Formation energy without anion corrections   -685.3 meV per atom

Geometry as CIF:
```
data_Cs2HgTe
_chemical_formula_sum 'Cs2 Hg1 Te1'
_cell_length_a 5.0326
_cell_length_b 6.1107
_cell_length_c 6.1107
_cell_angle_alpha 90.00
_cell_angle_beta 90.00
_cell_angle_gamma 90.00
_symmetry_space_group_name_H-M 'P 1'
_symmetry_Int_Tables_number 1
_symmetry_space_group_name_Hall 'P 1'
loop_
_atom_site_label
_atom_site_type_symbol
_atom_site_fract_x
_atom_site_fract_y
_atom_site_fract_z
Cs1 Cs 0.0000 0.0000 0.5000
Cs2 Cs 0.0000 0.5000 0.0000
Te1 Te 0.5000 0.0000 0.0000
Hg1 Hg 0.5000 0.5000 0.5000
```

---

No. 4
Computed, not measured: an optimized crystal structure of Pm2Tm2Ga3 at the PBE level of DFT.

Summary:
Energy   -4.35 eV per atom

Geometry as CIF:
```
data_Pm2Tm2Ga3
_chemical_formula_sum 'Pm2 Tm2 Ga3'
_cell_length_a 3.6862
_cell_length_b 8.1509
_cell_length_c 5.9566
_cell_angle_alpha 92.18
_cell_angle_beta 72.16
_cell_angle_gamma 90.03
_symmetry_space_group_name_H-M 'P 1'
_symmetry_Int_Tables_number 1
_symmetry_space_group_name_Hall 'P 1'
loop_
_atom_site_label
_atom_site_type_symbol
_atom_site_fract_x
_atom_site_fract_y
_atom_site_fract_z
Pm1 Pm 0.7059 0.8345 0.5895
Pm2 Pm 0.2941 0.1655 0.4105
Tm1 Tm 0.5604 0.3040 0.8827
Tm2 Tm 0.4396 0.6960 0.1173
Ga1 Ga 0.0000 0.0000 0.0000
Ga2 Ga 0.8329 0.4606 0.3332
Ga3 Ga 0.1671 0.5394 0.6668
```

---

No. 5
Computed, not measured: an optimized crystal structure of Hf3WCl at the PBE level of DFT.

Summary:
Offset from the most stable computed form   455 meV/atom
Formation energy without anion corrections   925.6 meV per atom

Geometry as CIF:
```
data_Hf3WCl
_chemical_formula_sum 'Hf3 W1 Cl1'
_cell_length_a 5.1437
_cell_length_b 5.1437
_cell_length_c 5.1437
_cell_angle_alpha 90.00
_cell_angle_beta 90.00
_cell_angle_gamma 90.00
_symmetry_space_group_name_H-M 'P 1'
_symmetry_Int_Tables_number 1
_symmetry_space_group_name_Hall 'P 1'
loop_
_atom_site_label
_atom_site_type_symbol
_atom_site_fract_x
_atom_site_fract_y
_atom_site_fract_z
Hf1 Hf 0.0000 0.5000 0.0000
Hf2 Hf 0.0000 0.0000 0.5000
Hf3 Hf 0.5000 0.0000 0.0000
W1 W 0.0000 0.0000 0.0000
Cl1 Cl 0.5000 0.5000 0.5000
```

---

No. 6
Computed, not measured: an optimized crystal structure of Hf8Pb2S at the PBE level of DFT.

Summary:
Formation energy without anion corrections   -272.1 meV per atom

Geometry as CIF:
```
data_Hf8Pb2S
_chemical_formula_sum 'Hf8 Pb2 S1'
_cell_length_a 3.6373
_cell_length_b 8.0882
_cell_length_c 8.5344
_cell_angle_alpha 95.06
_cell_angle_beta 102.30
_cell_angle_gamma 90.00
_symmetry_space_group_name_H-M 'P 1'
_symmetry_Int_Tables_number 1
_symmetry_space_group_name_Hall 'P 1'
loop_
_atom_site_label
_atom_site_type_symbol
_atom_site_fract_x
_atom_site_fract_y
_atom_site_fract_z
Hf1 Hf 0.5854 0.5119 0.1709
Hf2 Hf 0.3446 0.9471 0.6892
Hf3 Hf 0.2005 0.3595 0.4011
Hf4 Hf 0.9834 0.7729 0.9669
Hf5 Hf 0.7995 0.6405 0.5989
Hf6 Hf 0.6554 0.0529 0.3108
Hf7 Hf 0.4146 0.4881 0.8291
Hf8 Hf 0.0166 0.2271 0.0331
Pb1 Pb 0.1739 0.7647 0.3477
Pb2 Pb 0.8261 0.2353 0.6523
S1 S 0.5000 0.0000 0.0000
```